Here is Tb3Ga8Au3 at its PBEsol-relaxed geometry from the Alexandria database. Energies are from SCAN.

Computed properties:
* crystal system: orthorhombic
* symmetry: Immm
* D(E_F): 0.17 states/eV/atom
* ΔH_f (0 K): -0.671 eV/atom
* uncorrected energy: -1.2808 Ha/atom
* magnetization: 0.00 μB per formula unit

POSCAR file:
```
Tb3Ga8Au3
1.0
4.271 0.000 0.000
2.136 7.882 -0.024
2.136 2.210 7.566
Ga Au Tb
8 3 3
Direct
0.359 0.921 0.360
0.641 0.640 0.079
0.641 0.079 0.640
0.163 0.208 0.467
0.359 0.360 0.921
0.837 0.533 0.792
0.163 0.467 0.208
0.837 0.792 0.533
0.500 0.000 0.000
0.000 0.207 0.793
0.000 0.793 0.207
0.806 0.194 0.194
0.500 0.500 0.500
0.194 0.806 0.806
```

---

Here is Ga3TeAu at its PBEsol-relaxed geometry from the Alexandria database. Energies are from SCAN.

Computed properties:
* crystal system: cubic
* symmetry: Pm-3m
* D(E_F): 0.33 states/eV/atom
* uncorrected energy: -1.1111 Ha/atom
* magnetization: 0.00 μB per formula unit

POSCAR file:
```
Ga3TeAu
1.0
-3.223 2.873 -2.958
-3.892 -0.879 3.387
1.363 4.285 2.678
Ga Te Au
3 1 1
Direct
0.500 0.000 0.000
0.000 0.000 0.500
0.000 0.500 0.000
0.000 0.000 0.000
0.500 0.500 0.500
```

---

Here is TiGaAu3 at its PBEsol-relaxed geometry from the Alexandria database. Energies are from SCAN.

Computed properties:
* crystal system: cubic
* symmetry: Pm-3m
* D(E_F): 0.45 states/eV/atom
* ΔH_f (0 K): 0.497 eV/atom
* uncorrected energy: -1.7446 Ha/atom
* magnetization: 1.29 μB per formula unit

POSCAR file:
```
TiGaAu3
1.0
4.936 0.000 0.000
0.000 4.936 0.000
0.000 0.000 4.936
Ti Au Ga
1 3 1
Direct
0.000 0.000 0.000
0.000 0.000 0.500
0.000 0.500 0.000
0.500 0.000 0.000
0.500 0.500 0.500
```

---

Here is TlGa2Au2 at its PBEsol-relaxed geometry from the Alexandria database. Energies are from SCAN.

Computed properties:
* crystal system: tetragonal
* symmetry: I4/mmm
* D(E_F): 0.38 states/eV/atom
* ΔH_f (0 K): -0.165 eV/atom
* uncorrected energy: -1.7948 Ha/atom
* magnetization: 0.00 μB per formula unit

POSCAR file:
```
TlGa2Au2
1.0
4.070 0.000 0.000
0.000 4.070 0.000
-2.035 -2.035 6.057
Ga Tl Au
2 1 2
Direct
0.750 0.250 0.500
0.250 0.750 0.500
0.000 0.000 0.000
0.614 0.614 0.228
0.386 0.386 0.772
```

---

Here is UGaAu at its PBEsol-relaxed geometry from the Alexandria database. Energies are from SCAN.

Computed properties:
* crystal system: hexagonal
* symmetry: P6_3/mmc
* D(E_F): 1.00 states/eV/atom
* ΔH_f (0 K): -0.359 eV/atom
* uncorrected energy: -2.3288 Ha/atom
* magnetization: 3.00 μB per formula unit

POSCAR file:
```
UGaAu
1.0
-2.867 3.788 0.482
-0.693 -3.078 -3.584
-3.451 -3.027 3.266
U Au Ga
2 2 2
Direct
0.000 0.000 0.000
0.000 0.000 0.500
0.333 0.667 0.250
0.667 0.333 0.750
0.667 0.333 0.250
0.333 0.667 0.750
```

---

Here is YGaAu at its PBEsol-relaxed geometry from the Alexandria database. Energies are from SCAN.

Computed properties:
* crystal system: monoclinic
* symmetry: C2/m
* D(E_F): 0.34 states/eV/atom
* ΔH_f (0 K): -1.055 eV/atom
* uncorrected energy: -1.4273 Ha/atom
* magnetization: 0.00 μB per formula unit

POSCAR file:
```
YGaAu
1.0
4.423 0.000 0.000
2.212 5.174 0.012
2.212 0.489 5.248
Au Ga Y
2 2 2
Direct
0.176 0.365 0.284
0.824 0.635 0.716
0.842 0.213 0.103
0.158 0.787 0.897
0.539 0.221 0.701
0.461 0.779 0.299
```